Record 1
Computed, not measured: crystalline PuTlHg at its relaxed geometry at the PBE-GGA level of DFT.

## Properties
total moment = 6.1 Bohr magnetons per cell
polymorph energy (0 for the lowest one) = 0.0687 eV per atom

Unit cell a=5.1216 b=5.1216 c=5.1216 alpha=60.00 beta=60.00 gamma=60.00
Last column: nearest neighbours and their distance in Å.
Sites, in units of the cell vectors:
1 Hg 0.2500 0.2500 0.2500  4 Pu 3.14
2 Pu 0.0000 0.0000 0.0000  4 Hg 3.14, 4 Tl 3.14
3 Tl 0.7500 0.7500 0.7500  4 Pu 3.14

---

Record 2
Computed, not measured: crystalline Hf2CuOs at its relaxed geometry at the PBE-GGA level of DFT.

## Properties
total moment = 0.0 Bohr magnetons per cell
formation energy from the elements = -3.3 kJ/mol of atoms
polymorph energy (0 for the lowest one) = 0.3937 eV per atom

Unit cell a=4.5450 b=4.5450 c=4.5450 alpha=60.00 beta=60.00 gamma=60.00
Last column: nearest neighbours and their distance in Å.
Sites, in units of the cell vectors:
1 Cu 0.2500 0.2500 0.2500  4 Os 2.78, 4 Hf 2.78
2 Hf 0.0000 0.0000 0.0000  4 Hf 2.78, 4 Cu 2.78
3 Hf 0.7500 0.7500 0.7500  4 Hf 2.78, 4 Os 2.78
4 Os 0.5000 0.5000 0.5000  4 Cu 2.78, 4 Hf 2.78

---

Record 3
Computed, not measured: crystalline Al2CuSb at its relaxed geometry at the PBE-GGA level of DFT.

Unit cell a=4.7244 b=4.7244 c=4.7244 alpha=60.00 beta=60.00 gamma=60.00
Last column: nearest neighbours and their distance in Å.
Sites, in units of the cell vectors:
1 Al 0.0000 0.0000 0.0000  4 Al 2.89, 4 Cu 2.89
2 Al 0.7500 0.7500 0.7500  4 Al 2.89, 4 Sb 2.89
3 Cu 0.2500 0.2500 0.2500  4 Sb 2.89, 4 Al 2.89
4 Sb 0.5000 0.5000 0.5000  4 Cu 2.89, 4 Al 2.89

---

Record 4
Computed, not measured: crystalline K2CdMoS4 at its relaxed geometry at the PBE-GGA level of DFT.

## Properties
total moment = 1.9 Bohr magnetons per cell

Unit cell a=6.7648 b=6.7648 c=7.2081 alpha=122.14 beta=122.14 gamma=82.32
Last column: nearest neighbours and their distance in Å.
Sites, in units of the cell vectors:
1 Cd 0.9860 0.0140 0.0000  4 S 2.56
2 K 0.4851 0.5149 0.0000  4 S 3.11
3 K 0.7355 0.2645 0.5000  4 S 3.33
4 Mo 0.2359 0.7641 0.5000  4 S 2.30
5 S 0.9451 0.7257 0.1115  1 Mo 2.30, 1 Cd 2.56
6 S 0.1385 0.4134 0.4404  1 Mo 2.30, 1 Cd 2.56
7 S 0.5866 0.8615 0.5596  1 Mo 2.30, 1 Cd 2.56
8 S 0.2743 0.0549 0.8885  1 Mo 2.30, 1 Cd 2.56

---

Taking the records one at a time from the top gives E_tot values of -5.384 -8.747 -3.566 -4.559 eV/atom.